No. 1
This record from Alexandria via LeMat-Bulk describes an optimized crystal structure of SrLi2Zn. The functional is PBEsol.

Formation enthalpy at 0 K   126 meV per atom

Cell: 3.636 5.250 6.268 Å, 113.84 105.60 92.89°
Fractional coordinates of all 4 atoms:
1 Li 0.000 0.000 0.500
2 Li 0.500 0.500 0.500
3 Sr 0.500 0.000 0.000
4 Zn 0.000 0.500 0.000

---

No. 2
This record from Alexandria via LeMat-Bulk describes an optimized crystal structure of SrLi2Zn. The functional is PBEsol.

Formation enthalpy at 0 K   -8 meV per atom

Cell: 3.663 5.363 5.977 Å, 116.66 107.85 90.00°
Fractional coordinates of all 4 atoms:
1 Sr 0.500 0.000 0.000
2 Zn 0.000 0.500 0.000
3 Li 0.704 0.704 0.408
4 Li 0.296 0.296 0.592

---

No. 3
This record from Alexandria via LeMat-Bulk describes an optimized crystal structure of SrLiZn2. The functional is PBEsol.

E above lowest polymorph   11.11 kJ/mol of atoms
Formation enthalpy at 0 K   -49 meV per atom

Cell: 4.107 5.333 5.309 Å, 120.15 112.75 90.00°
Fractional coordinates of all 4 atoms:
1 Li 0.457 0.457 0.914
2 Sr 0.261 0.761 0.522
3 Zn 0.054 0.054 0.108
4 Zn 0.728 0.228 0.456

---

No. 4
This record from Alexandria via LeMat-Bulk describes an optimized crystal structure of SrLiZr. The functional is PBEsol.

E above lowest polymorph   0.00 kJ/mol of atoms
Formation enthalpy at 0 K   619 meV per atom

Cell: 3.167 5.453 5.453 Å, 120.00 90.00 90.00°
Fractional coordinates of all 3 atoms:
1 Li 0.959 0.000 0.000
2 Sr 0.739 0.333 0.667
3 Zr 0.302 0.667 0.333

---

No. 5
This record from Alexandria via LeMat-Bulk describes an optimized crystal structure of SrLiZr. The functional is PBEsol.

E above lowest polymorph   36.64 kJ/mol of atoms
Formation enthalpy at 0 K   999 meV per atom

Cell: 5.097 5.097 5.097 Å, 60.00 60.00 60.00°
Last column: magnetic moment on the atom in μB.
Fractional coordinates of all 3 atoms:
1 Li 0.750 0.750 0.750  0.03
2 Sr 0.000 0.000 0.000  0.13
3 Zr 0.500 0.500 0.500  1.14

---

No. 6
This record from Alexandria via LeMat-Bulk describes an optimized crystal structure of Sr2LiZr. The functional is PBEsol.

Formation enthalpy at 0 K   569 meV per atom

Cell: 3.460 5.956 6.778 Å, 97.82 90.00 106.89°
Last column: magnetic moment on the atom in μB.
Fractional coordinates of all 4 atoms:
1 Li 0.500 0.000 0.000  0.00
2 Sr 0.750 0.500 0.742  0.02
3 Sr 0.250 0.500 0.258  0.02
4 Zr 0.000 0.000 0.500  0.50

---

No. 7
This record from Alexandria via LeMat-Bulk describes an optimized crystal structure of SrLi2Zr. The functional is PBEsol.

Formation enthalpy at 0 K   526 meV per atom

Cell: 5.243 5.243 5.243 Å, 60.00 60.00 60.00°
Last column: magnetic moment on the atom in μB.
Fractional coordinates of all 4 atoms:
1 Li 0.750 0.750 0.750  0.00
2 Li 0.250 0.250 0.250  0.00
3 Sr 0.500 0.500 0.500  0.04
4 Zr 0.000 0.000 0.000  0.40

---

No. 8
This record from Alexandria via LeMat-Bulk describes an optimized crystal structure of LiTa3. The functional is PBEsol.

E above lowest polymorph   6.18 kJ/mol of atoms
Formation enthalpy at 0 K   407 meV per atom

Cell: 2.695 5.302 5.302 Å, 115.11 90.00 90.00°
Fractional coordinates of all 4 atoms:
1 Li 0.000 0.000 0.000
2 Ta 0.500 0.000 0.500
3 Ta 0.500 0.500 0.000
4 Ta 0.000 0.500 0.500

---

No. 9
This record from Alexandria via LeMat-Bulk describes an optimized crystal structure of LiTa. The functional is PBEsol.

E above lowest polymorph   14.42 kJ/mol of atoms
Formation enthalpy at 0 K   441 meV per atom

Cell: 2.565 4.546 5.946 Å, 90.00 102.50 90.00°
Fractional coordinates of all 4 atoms:
1 Li 0.057 0.750 0.617
2 Li 0.943 0.250 0.383
3 Ta 0.309 0.750 0.117
4 Ta 0.691 0.250 0.883

---

No. 10
This record from Alexandria via LeMat-Bulk describes an optimized crystal structure of LiTa. The functional is PBEsol.

E above lowest polymorph   0.00 kJ/mol of atoms
Formation enthalpy at 0 K   291 meV per atom

Cell: 2.733 2.733 9.654 Å, 90.00 90.00 90.00°
Fractional coordinates of all 4 atoms:
1 Li 0.500 0.000 0.629
2 Li 0.000 0.500 0.371
3 Ta 0.500 0.000 0.116
4 Ta 0.000 0.500 0.884

---

No. 11
This record from Alexandria via LeMat-Bulk describes an optimized crystal structure of LiTa3. The functional is PBEsol.

E above lowest polymorph   1.42 kJ/mol of atoms
Formation enthalpy at 0 K   357 meV per atom

Cell: 4.549 4.549 4.549 Å, 60.00 60.00 60.00°
Fractional coordinates of all 4 atoms:
1 Li 0.000 0.000 0.000
2 Ta 0.250 0.250 0.250
3 Ta 0.500 0.500 0.500
4 Ta 0.750 0.750 0.750

---

No. 12
This record from Alexandria via LeMat-Bulk describes an optimized crystal structure of LiTa3. The functional is PBEsol.

E above lowest polymorph   4.31 kJ/mol of atoms
Formation enthalpy at 0 K   387 meV per atom

Cell: 2.676 5.381 5.624 Å, 118.58 103.76 90.00°
Fractional coordinates of all 4 atoms:
1 Li 0.000 0.978 0.000
2 Ta 0.500 0.482 0.000
3 Ta 0.249 0.935 0.497
4 Ta 0.751 0.438 0.503

---

For reference, total energy by record: -1.713, -1.847, -1.792, -3.680, -3.300, -3.115, -3.190, -9.498, -6.818, -6.967, -9.548, -9.518 eV/atom.